Density functional theory data (PBE-GGA) for crystalline BaNaGe2 at its relaxed geometry.

Symmetry: I-42d
Energy above the most stable polymorph in this dataset: 0.364 eV/atom
Energy relative to the elements: -0.2 eV per formula unit

The structure in POSCAR format:
```
BaNaGe2
1.0
-2.5626 2.5626 9.8430
2.5626 -2.5626 9.8430
2.5626 2.5626 -9.8430
Ba Na Ge
2 2 4
Cartesian
0.0000 0.0000 0.0000
0.0000 2.5626 4.9215
2.5626 0.0000 4.9215
0.0000 0.0000 9.8430
1.2813 -0.3135 7.3823
2.2491 1.2813 2.4608
1.2813 2.8761 -2.4608
0.3135 1.2813 12.3038
```

Density functional theory data (PBE-GGA) for crystalline BaNaGe4 at its relaxed geometry.

Symmetry: F-43m
Energy above the most stable polymorph in this dataset: 0.075 eV/atom
Energy relative to the elements: -1.0 eV per formula unit

The structure in POSCAR format:
```
BaNaGe4
1.0
0.0000 4.1877 4.1877
4.1877 0.0000 4.1877
4.1877 4.1877 0.0000
Ba Na Ge
1 1 4
Cartesian
0.0000 0.0000 0.0000
2.0938 2.0938 2.0938
5.1745 3.2008 3.2008
3.2008 5.1745 3.2008
3.2008 3.2008 5.1745
5.1745 5.1745 5.1745
```